VASP calculation (PBE) on a relaxed structure of K2CeNb5O15.

E_form (uncorrected)	-2635	meV per atom
total magnetization	0.79	μB/f.u.

a b c (Å): 12.7783 12.7783 3.9693
angles (deg): 90.00 90.00 90.00
Closest atoms and distances in Å follow each position.
Space group P4/mbm (No. 127)
Asymmetric unit:
K 0.1694 0.3306 0.0000 [4 per cell]  7 O 2.86-3.06
Ce 0.0000 0.0000 0.0000 [2 per cell]  12 O 2.62-2.70
Nb 0.0000 0.5000 0.5000 [2 per cell]  6 O 1.98-2.02
Nb 0.0769 0.7868 0.5000 [8 per cell]  6 O 1.92-2.08
O 0.0000 0.5000 0.0000 [2 per cell]  2 Nb 1.98
O 0.0010 0.3420 0.5000 [8 per cell]  2 Nb 1.92-2.02
O 0.0596 0.1308 0.5000 [8 per cell]  2 Nb 2.04-2.08
O 0.0768 0.8102 0.0000 [8 per cell]  2 Nb 2.01
O 0.2169 0.7169 0.5000 [4 per cell]  2 Nb 2.00